(1)
This record from Alexandria via LeMat-Bulk describes a relaxed Hf4Mn3Ni crystal. The functional is PBE-GGA.

Lattice parameters (Å, degrees): 3.1855 4.4900 8.8455 90.00 90.00 90.00
Sites, in units of the cell vectors:
Ni: 0.5000 0.5000 0.0000
Mn: 0.5000 0.0000 0.2459
Mn: 0.5000 0.5000 0.5000
Mn: 0.5000 0.0000 0.7541
Hf: 0.0000 0.0000 0.5000
Hf: 0.0000 0.5000 0.7452
Hf: 0.0000 0.0000 0.0000
Hf: 0.0000 0.5000 0.2548

Properties
The value obtained for the formation energy from the elements is -217 meV per atom. The symmetry is Pmmm. For the total DFT energy (no corrections), the calculation gives -74.84 eV for the cell shown. The value obtained for the calculated density is 12.30 Mg/m³.


(2)
This record from Alexandria via LeMat-Bulk describes a relaxed TlCrSnBr6 crystal. The functional is PBE-GGA.

Lattice parameters (Å, degrees): 7.2905 7.2909 7.0167 90.01 89.99 59.97
Sites, in units of the cell vectors:
Tl: 0.0000 0.0000 0.0000
Cr: 0.3333 0.3333 0.5000
Sn: 0.6666 0.6666 0.5001
Br: 0.0469 0.3438 0.2865
Br: 0.3436 0.0471 0.7135
Br: 0.6093 0.3437 0.7135
Br: 0.0467 0.6097 0.7133
Br: 0.3439 0.6092 0.2864
Br: 0.6096 0.0466 0.2866

Properties
The symmetry is P312. For the total DFT energy (no corrections), the calculation gives -32.98 eV for the cell shown. The value obtained for the calculated density is 4.39 Mg/m³.


(3)
This record from Alexandria via LeMat-Bulk describes a relaxed Y4Er5 crystal. The functional is PBE-GGA.

Lattice parameters (Å, degrees): 6.9804 9.6647 9.6647 120.00 90.00 90.00
Sites, in units of the cell vectors:
Y: 0.0000 0.0000 0.0000
Y: 0.5000 0.0000 0.0000
Y: 0.7500 0.3591 0.3591
Y: 0.7500 0.0000 0.6409
Y: 0.7500 0.6409 0.0000
Y: 0.2500 0.6409 0.6409
Y: 0.2500 0.0000 0.3591
Y: 0.2500 0.3591 0.0000
Er: 0.7500 0.6919 0.6919
Er: 0.7500 0.0000 0.3081
Er: 0.7500 0.3081 0.0000
Er: 0.2500 0.3081 0.3081
Er: 0.2500 0.0000 0.6919
Er: 0.2500 0.6919 0.0000
Er: 0.0000 0.6667 0.3333
Er: 0.5000 0.3333 0.6667
Er: 0.0000 0.3333 0.6667
Er: 0.5000 0.6667 0.3333

Properties
The value obtained for the formation energy from the elements is 59 meV per atom. The symmetry is P6_3/mcm. For the total DFT energy (no corrections), the calculation gives -96.28 eV for the cell shown. The value obtained for the calculated density is 7.01 Mg/m³.


(4)
This record from Alexandria via LeMat-Bulk describes a relaxed Zr2Ga2Co crystal. The functional is PBE-GGA.

Lattice parameters (Å, degrees): 3.9477 5.3804 9.0903 81.16 77.46 68.48
Sites, in units of the cell vectors:
Zr: 0.3128 0.2497 0.1247
Zr: 0.4948 0.3357 0.6747
Zr: 0.6872 0.7503 0.8753
Zr: 0.5052 0.6643 0.3253
Ga: 0.9665 0.1787 0.8884
Ga: 0.1518 0.2468 0.4497
Ga: 0.0335 0.8213 0.1116
Ga: 0.8482 0.7532 0.5503
Co: 0.7833 0.1074 0.3260
Co: 0.2167 0.8926 0.6740

Properties
The value obtained for the formation energy from the elements is -537 meV per atom. The symmetry is C2/m. For the total DFT energy (no corrections), the calculation gives -65.88 eV for the cell shown. The value obtained for the calculated density is 7.24 Mg/m³.


(5)
This record from Alexandria via LeMat-Bulk describes a relaxed Ac6Bi2AsSe3 crystal. The functional is PBE-GGA.

Lattice parameters (Å, degrees): 4.6352 9.2326 10.3217 102.22 102.98 90.00
Sites, in units of the cell vectors:
Ac: 0.3380 0.9292 0.6761
Ac: 0.6616 0.5936 0.3231
Ac: 0.6620 0.0708 0.3239
Ac: 0.9964 0.2373 0.9928
Ac: 0.0036 0.7627 0.0072
Ac: 0.3384 0.4064 0.6769
Bi: 0.8330 0.6650 0.6660
Bi: 0.1670 0.3350 0.3340
As: 0.5000 0.0000 0.0000
Se: 0.5000 0.5000 0.0000
Se: 0.8311 0.1645 0.6622
Se: 0.1689 0.8355 0.3378

Properties
The symmetry is C2/m. For the total DFT energy (no corrections), the calculation gives -65.69 eV for the cell shown. The value obtained for the calculated density is 8.27 Mg/m³.


(6)
This record from Alexandria via LeMat-Bulk describes a relaxed La2Pr6Sm3Er crystal. The functional is PBE-GGA.

Lattice parameters (Å, degrees): 6.3857 6.3857 12.1981 95.05 95.05 120.00
Sites, in units of the cell vectors:
La: 0.3331 0.6669 0.0000
La: 0.6669 0.3331 0.0000
Pr: 0.9161 0.5848 0.7483
Pr: 0.7520 0.7520 0.2520
Pr: 0.0839 0.4152 0.2517
Pr: 0.5848 0.9161 0.7483
Pr: 0.2480 0.2480 0.7480
Pr: 0.4152 0.0839 0.2517
Sm: 0.1664 0.8336 0.5000
Sm: 0.8336 0.1664 0.5000
Sm: 0.5000 0.5000 0.5000
Er: 0.0000 0.0000 0.0000

Properties
The value obtained for the formation energy from the elements is 16 meV per atom. The symmetry is C2/m. For the total DFT energy (no corrections), the calculation gives -57.06 eV for the cell shown. The value obtained for the calculated density is 6.82 Mg/m³.


(7)
This record from Alexandria via LeMat-Bulk describes a relaxed Tb7YTh2 crystal. The functional is PBE-GGA.

Lattice parameters (Å, degrees): 5.5293 9.3935 9.3936 124.74 90.00 90.00
Sites, in units of the cell vectors:
Tb: 0.0000 0.7894 0.2106
Tb: 0.0000 0.2106 0.7894
Tb: 0.5000 0.0656 0.2871
Tb: 0.5000 0.9344 0.7129
Tb: 0.5000 0.2871 0.0656
Tb: 0.5000 0.7129 0.9344
Tb: 0.5000 0.5000 0.5000
Y: 0.0000 0.0000 0.0000
Th: 0.5000 0.7049 0.2951
Th: 0.5000 0.2951 0.7049

Properties
The value obtained for the formation energy from the elements is 759 meV per atom. The symmetry is Cmmm. For the total DFT energy (no corrections), the calculation gives -46.13 eV for the cell shown. The value obtained for the calculated density is 6.90 Mg/m³.


(8)
This record from Alexandria via LeMat-Bulk describes a relaxed Hf2Hg2C crystal. The functional is PBE-GGA.

Lattice parameters (Å, degrees): 3.3137 3.3137 9.9992 80.46 80.46 60.00
Sites, in units of the cell vectors:
Hf: 0.3750 0.3750 0.8749
Hf: 0.6250 0.6250 0.1251
Hg: 0.8763 0.8763 0.3711
Hg: 0.1237 0.1237 0.6289
C: 0.0000 0.0000 0.0000

Properties
The value obtained for the formation energy from the elements is -476 meV per atom. The symmetry is R-3m. For the total DFT energy (no corrections), the calculation gives -32.12 eV for the cell shown. The value obtained for the calculated density is 13.70 Mg/m³.


(9)
This record from Alexandria via LeMat-Bulk describes a relaxed BePt2Rh crystal. The functional is PBE-GGA.

Lattice parameters (Å, degrees): 3.7200 3.7200 9.1614 78.29 78.29 90.00
Sites, in units of the cell vectors:
Be: 0.5000 0.5000 0.0000
Be: 0.2500 0.7500 0.5000
Rh: 0.0000 0.0000 0.0000
Rh: 0.7500 0.2500 0.5000
Pt: 0.6193 0.1250 0.2500
Pt: 0.1307 0.6250 0.2500
Pt: 0.3750 0.3807 0.7500
Pt: 0.8750 0.8693 0.7500

Properties
The value obtained for the formation energy from the elements is 130 meV per atom. The symmetry is I-42d. For the total DFT energy (no corrections), the calculation gives -45.28 eV for the cell shown. The value obtained for the calculated density is 13.73 Mg/m³.


(10)
This record from Alexandria via LeMat-Bulk describes a relaxed Dy4ZrRu5 crystal. The functional is PBE-GGA.

Lattice parameters (Å, degrees): 3.3641 3.3641 16.9396 90.00 90.00 90.00
Sites, in units of the cell vectors:
Dy: 0.0000 0.0000 0.1984
Dy: 0.0000 0.0000 0.3992
Dy: 0.0000 0.0000 0.6008
Dy: 0.0000 0.0000 0.8016
Zr: 0.0000 0.0000 0.0000
Ru: 0.5000 0.5000 0.0916
Ru: 0.5000 0.5000 0.2970
Ru: 0.5000 0.5000 0.5000
Ru: 0.5000 0.5000 0.7030
Ru: 0.5000 0.5000 0.9084

Properties
The value obtained for the formation energy from the elements is -400 meV per atom. The symmetry is P4/mmm. For the total DFT energy (no corrections), the calculation gives -77.34 eV for the cell shown. The value obtained for the calculated density is 10.80 Mg/m³.


(11)
This record from Alexandria via LeMat-Bulk describes a relaxed BaMg2Ga4 crystal. The functional is PBE-GGA.

Lattice parameters (Å, degrees): 4.3182 4.5804 9.2223 104.38 103.54 90.00
Sites, in units of the cell vectors:
Ba: 0.5000 0.0000 0.0000
Mg: 0.8149 0.8149 0.6298
Mg: 0.1851 0.1851 0.3702
Ga: 0.6571 0.6571 0.3142
Ga: 0.3429 0.3429 0.6858
Ga: 0.0786 0.5786 0.1572
Ga: 0.9214 0.4214 0.8428

Properties
The value obtained for the formation energy from the elements is -248 meV per atom. The symmetry is Immm. For the total DFT energy (no corrections), the calculation gives -18.95 eV for the cell shown. The value obtained for the calculated density is 4.50 Mg/m³.


(12)
This record from Alexandria via LeMat-Bulk describes a relaxed Fe2AgPb crystal. The functional is PBE-GGA.

Lattice parameters (Å, degrees): 5.0109 5.0109 5.0109 132.32 132.22 69.80
Sites, in units of the cell vectors:
Ag: 0.2500 0.7500 0.5000
Fe: 0.0000 0.0000 0.0000
Fe: 0.5000 0.5000 0.0000
Pb: 0.7500 0.2500 0.5000

Properties
The value obtained for the formation energy from the elements is 499 meV per atom. The symmetry is I4/mmm. For the total DFT energy (no corrections), the calculation gives -21.49 eV for the cell shown. The value obtained for the calculated density is 10.49 Mg/m³.


(13)
This record from Alexandria via LeMat-Bulk describes a relaxed La2Pr2YHo crystal. The functional is PBE-GGA.

Lattice parameters (Å, degrees): 5.7851 7.1707 10.0451 90.00 90.00 90.00
Sites, in units of the cell vectors:
La: 0.5000 0.0075 0.0003
La: 0.0000 0.2577 0.1752
La: 0.5000 0.5075 0.9997
La: 0.0000 0.7577 0.8248
Pr: 0.0000 0.2572 0.8353
Pr: 0.5000 0.2579 0.3311
Pr: 0.0000 0.7572 0.1647
Pr: 0.5000 0.7579 0.6689
Y: 0.0000 0.0077 0.4999
Y: 0.0000 0.5077 0.5001
Ho: 0.5000 0.2577 0.6568
Ho: 0.5000 0.7577 0.3432

Properties
The value obtained for the formation energy from the elements is 48 meV per atom. The symmetry is Pmc2_1. For the total DFT energy (no corrections), the calculation gives -60.33 eV for the cell shown. The value obtained for the calculated density is 6.48 Mg/m³.


(14)
This record from Alexandria via LeMat-Bulk describes a relaxed TlAsBr2 crystal. The functional is PBE-GGA.

Lattice parameters (Å, degrees): 5.4981 5.4981 5.4981 60.00 60.00 60.00
Sites, in units of the cell vectors:
Tl: 0.5000 0.5000 0.5000
As: 0.0000 0.0000 0.0000
Br: 0.2500 0.2500 0.2500
Br: 0.7500 0.7500 0.7500

Properties
The symmetry is Fm-3m. For the total DFT energy (no corrections), the calculation gives -9.84 eV for the cell shown. The value obtained for the calculated density is 6.20 Mg/m³.


(15)
This record from Alexandria via LeMat-Bulk describes a relaxed Mg2Ni2Au crystal. The functional is PBE-GGA.

Lattice parameters (Å, degrees): 6.5133 6.5133 3.7238 90.00 90.00 90.00
Sites, in units of the cell vectors:
Ni: 0.3753 0.8753 0.0000
Ni: 0.8753 0.6247 0.0000
Ni: 0.6247 0.1247 0.0000
Ni: 0.1247 0.3753 0.0000
Mg: 0.1731 0.6731 0.5000
Mg: 0.6731 0.8269 0.5000
Mg: 0.8269 0.3269 0.5000
Mg: 0.3269 0.1731 0.5000
Au: 0.0000 0.0000 0.0000
Au: 0.5000 0.5000 0.0000

Properties
The value obtained for the formation energy from the elements is -238 meV per atom. The symmetry is P4/mbm. For the total DFT energy (no corrections), the calculation gives -38.44 eV for the cell shown. The value obtained for the calculated density is 7.63 Mg/m³.


(16)
This record from Alexandria via LeMat-Bulk describes a relaxed Nd6Te3Rh2Se crystal. The functional is PBE-GGA.

Lattice parameters (Å, degrees): 4.2519 8.9933 9.8974 106.11 102.40 90.00
Sites, in units of the cell vectors:
Nd: 0.3318 0.8780 0.6637
Nd: 0.6758 0.5657 0.3516
Nd: 0.6682 0.1220 0.3363
Nd: 0.0145 0.2474 0.0290
Nd: 0.9855 0.7526 0.9710
Nd: 0.3242 0.4343 0.6484
Te: 0.5000 0.5000 0.0000
Te: 0.8401 0.1584 0.6802
Te: 0.1599 0.8416 0.3198
Rh: 0.8316 0.6614 0.6632
Rh: 0.1684 0.3386 0.3368
Se: 0.5000 0.0000 0.0000

Properties
The symmetry is C2/m. For the total DFT energy (no corrections), the calculation gives -71.13 eV for the cell shown. The value obtained for the calculated density is 7.18 Mg/m³.


(17)
This record from Alexandria via LeMat-Bulk describes a relaxed GaHg2Pd crystal. The functional is PBE-GGA.

Lattice parameters (Å, degrees): 2.9742 2.9742 11.2596 82.41 82.41 60.00
Sites, in units of the cell vectors:
Ga: 0.5000 0.5000 0.5000
Hg: 0.0824 0.0824 0.7528
Hg: 0.9176 0.9176 0.2472
Pd: 0.0000 0.0000 0.0000

Properties
The value obtained for the formation energy from the elements is 191 meV per atom. The symmetry is R-3m. For the total DFT energy (no corrections), the calculation gives -8.06 eV for the cell shown. The value obtained for the calculated density is 11.25 Mg/m³.


(18)
This record from Alexandria via LeMat-Bulk describes a relaxed AgRuN2 crystal. The functional is PBE-GGA.

Lattice parameters (Å, degrees): 5.0480 5.0480 5.6714 63.57 63.57 90.00
Sites, in units of the cell vectors:
Ru: 0.5000 0.5000 0.0000
Ru: 0.2500 0.7500 0.5000
Ag: 0.0000 0.0000 0.0000
Ag: 0.7500 0.2500 0.5000
N: 0.5509 0.1250 0.2500
N: 0.1991 0.6250 0.2500
N: 0.3750 0.4491 0.7500
N: 0.8750 0.8009 0.7500

Properties
The symmetry is I-42d. For the total DFT energy (no corrections), the calculation gives -52.61 eV for the cell shown. The value obtained for the calculated density is 7.01 Mg/m³.


(19)
This record from Alexandria via LeMat-Bulk describes a relaxed ZrPtRh crystal. The functional is PBE-GGA.

Lattice parameters (Å, degrees): 4.3924 4.3924 4.3924 60.00 60.00 60.00
Sites, in units of the cell vectors:
Pt: 0.0000 0.0000 0.0000
Rh: 0.5000 0.5000 0.5000
Zr: 0.7500 0.7500 0.7500

Properties
The value obtained for the formation energy from the elements is -467 meV per atom. The symmetry is F-43m. For the total DFT energy (no corrections), the calculation gives -23.34 eV for the cell shown. The value obtained for the calculated density is 10.79 Mg/m³.


(20)
This record from Alexandria via LeMat-Bulk describes a relaxed TbNbIrRu crystal. The functional is PBE-GGA.

Lattice parameters (Å, degrees): 4.6686 4.6686 4.6686 60.00 60.00 60.00
Sites, in units of the cell vectors:
Ru: 0.7500 0.7500 0.7500
Nb: 0.0000 0.0000 0.0000
Ir: 0.2500 0.2500 0.2500
Tb: 0.5000 0.5000 0.5000

Properties
The value obtained for the formation energy from the elements is -322 meV per atom. The symmetry is F-43m. For the total DFT energy (no corrections), the calculation gives -34.13 eV for the cell shown. The value obtained for the calculated density is 12.58 Mg/m³.